# 1
This record from Alexandria describes a geometry-optimized YAlCrCl2 structure. The functional is PBE.

a = 5.1212 Å, b = 5.1212 Å, c = 6.4471 Å
α = 90.00°, β = 90.00°, γ = 90.00°
With the nearest neighbours (Å) after each atom.
Fractional positions:
Y: 0.0000 0.0000 0.0000  4 Cl 2.56
Al: 0.5000 0.5000 0.5000  4 Cr 3.62
Cr: 0.0000 0.0000 0.5000  2 Y 3.22
Cl: 0.0000 0.5000 0.0000  2 Y 2.56
Cl: 0.5000 0.0000 0.0000  2 Y 2.56

Summary:
D(E_F): 3.1 states/eV/cell
Formation energy without anion corrections: -0.145 eV per atom
Calculated volume: 169.1 Å³ per cell

# 2
This record from Alexandria describes a geometry-optimized ZrAlCr2Cl structure. The functional is PBE.

a = 4.1549 Å, b = 4.1549 Å, c = 4.7915 Å
α = 90.00°, β = 90.00°, γ = 90.00°
With the nearest neighbours (Å) after each atom.
Fractional positions:
Zr: 0.0000 0.0000 0.0000  4 Al 2.94, 8 Cr 3.17
Al: 0.5000 0.5000 0.0000  2 Cl 2.40
Cr: 0.0000 0.5000 0.5000  2 Cl 2.08
Cr: 0.5000 0.0000 0.5000  2 Cl 2.08
Cl: 0.5000 0.5000 0.5000  4 Cr 2.08

Summary:
D(E_F): 3.6 states/eV/cell
Formation energy without anion corrections: 0.647 eV per atom
Calculated volume: 82.7 Å³ per cell

# 3
This record from Alexandria describes a geometry-optimized Zr2AlCrCl structure. The functional is PBE.

a = 4.7354 Å, b = 4.7354 Å, c = 4.4259 Å
α = 90.00°, β = 90.00°, γ = 90.00°
With the nearest neighbours (Å) after each atom.
Fractional positions:
Zr: 0.0000 0.5000 0.0000  2 Cl 2.37
Zr: 0.5000 0.0000 0.0000  2 Cl 2.37
Al: 0.0000 0.0000 0.5000  2 Cl 2.21
Cr: 0.5000 0.5000 0.5000  8 Zr 3.24, 4 Al 3.35
Cl: 0.0000 0.0000 0.0000  2 Al 2.21, 4 Zr 2.37

Summary:
D(E_F): 4.3 states/eV/cell
Formation energy without anion corrections: 0.644 eV per atom
Calculated volume: 99.2 Å³ per cell

# 4
This record from Alexandria describes a geometry-optimized Cs3Al5Cl12 structure. The functional is PBE.

a = 15.8907 Å, b = 15.8907 Å, c = 15.8907 Å
α = 109.47°, β = 109.47°, γ = 109.47°
With the nearest neighbours (Å) after each atom.
Fractional positions:
Cs: 0.1250 0.2500 0.3750  8 Cl 3.73-3.85
Cs: 0.1250 0.3750 0.7500  8 Cl 3.73-3.85
Cs: 0.2500 0.3750 0.1250  8 Cl 3.73-3.85
Cs: 0.2500 0.8750 0.6250  8 Cl 3.73-3.85
Cs: 0.3750 0.1250 0.2500  8 Cl 3.73-3.85
Cs: 0.3750 0.7500 0.1250  8 Cl 3.73-3.85
Cs: 0.6250 0.2500 0.8750  8 Cl 3.73-3.85
Cs: 0.6250 0.8750 0.7500  8 Cl 3.73-3.85
Cs: 0.7500 0.1250 0.3750  8 Cl 3.73-3.85
Cs: 0.7500 0.6250 0.8750  8 Cl 3.73-3.85
Cs: 0.8750 0.6250 0.2500  8 Cl 3.73-3.85
Cs: 0.8750 0.7500 0.6250  8 Cl 3.73-3.85
Al: 0.0000 0.0000 0.0000  6 Cl 3.43
Al: 0.0000 0.0000 0.5000  6 Cl 3.43
Al: 0.0000 0.5000 0.0000  6 Cl 3.43
Al: 0.0000 0.5000 0.5000  6 Cl 3.43
Al: 0.1250 0.7500 0.8750  4 Cl 2.17
Al: 0.1250 0.8750 0.2500  4 Cl 2.17
Al: 0.2500 0.1250 0.8750  4 Cl 2.17
Al: 0.2500 0.6250 0.3750  4 Cl 2.17
Al: 0.3750 0.2500 0.6250  4 Cl 2.17
Al: 0.3750 0.6250 0.7500  4 Cl 2.17
Al: 0.5000 0.0000 0.0000  6 Cl 3.43
Al: 0.5000 0.0000 0.5000  6 Cl 3.43
Al: 0.5000 0.5000 0.0000  6 Cl 3.43
Al: 0.5000 0.5000 0.5000  6 Cl 3.43
Al: 0.6250 0.3750 0.2500  4 Cl 2.17
Al: 0.6250 0.7500 0.3750  4 Cl 2.17
Al: 0.7500 0.3750 0.6250  4 Cl 2.17
Al: 0.7500 0.8750 0.1250  4 Cl 2.17
Al: 0.8750 0.1250 0.7500  4 Cl 2.17
Al: 0.8750 0.2500 0.1250  4 Cl 2.17
Cl: 0.0019 0.7255 0.1182  1 Al 2.17
Cl: 0.0019 0.7764 0.8837  1 Al 2.17
Cl: 0.1073 0.7236 0.7255  1 Al 2.17
Cl: 0.1073 0.8837 0.3818  1 Al 2.17
Cl: 0.1163 0.6182 0.8927  1 Al 2.17
Cl: 0.1163 0.9981 0.2236  1 Al 2.17
Cl: 0.1182 0.0019 0.7255  1 Al 2.17
Cl: 0.1182 0.6163 0.3927  1 Al 2.17
Cl: 0.2236 0.1163 0.9981  1 Al 2.17
Cl: 0.2236 0.6073 0.2255  1 Al 2.17
Cl: 0.2255 0.2236 0.6073  1 Al 2.17
Cl: 0.2255 0.5019 0.6182  1 Al 2.17
Cl: 0.2745 0.8818 0.9981  1 Al 2.17
Cl: 0.2745 0.8927 0.2764  1 Al 2.17
Cl: 0.2764 0.2745 0.8927  1 Al 2.17
Cl: 0.2764 0.5019 0.3837  1 Al 2.17
Cl: 0.3818 0.1073 0.8837  1 Al 2.17
Cl: 0.3818 0.7745 0.4981  1 Al 2.17
Cl: 0.3837 0.2764 0.5019  1 Al 2.17
Cl: 0.3837 0.6073 0.8818  1 Al 2.17
Cl: 0.3927 0.1182 0.6163  1 Al 2.17
Cl: 0.3927 0.7745 0.7764  1 Al 2.17
Cl: 0.4981 0.3818 0.7745  1 Al 2.17
Cl: 0.4981 0.6163 0.7236  1 Al 2.17
Cl: 0.5019 0.3837 0.2764  1 Al 2.17
Cl: 0.5019 0.6182 0.2255  1 Al 2.17
Cl: 0.6073 0.2255 0.2236  1 Al 2.17
Cl: 0.6073 0.8818 0.3837  1 Al 2.17
Cl: 0.6163 0.3927 0.1182  1 Al 2.17
Cl: 0.6163 0.7236 0.4981  1 Al 2.17
Cl: 0.6182 0.2255 0.5019  1 Al 2.17
Cl: 0.6182 0.8927 0.1163  1 Al 2.17
Cl: 0.7236 0.4981 0.6163  1 Al 2.17
Cl: 0.7236 0.7255 0.1073  1 Al 2.17
Cl: 0.7255 0.1073 0.7236  1 Al 2.17
Cl: 0.7255 0.1182 0.0019  1 Al 2.17
Cl: 0.7745 0.4981 0.3818  1 Al 2.17
Cl: 0.7745 0.7764 0.3927  1 Al 2.17
Cl: 0.7764 0.3927 0.7745  1 Al 2.17
Cl: 0.7764 0.8837 0.0019  1 Al 2.17
Cl: 0.8818 0.3837 0.6073  1 Al 2.17
Cl: 0.8818 0.9981 0.2745  1 Al 2.17
Cl: 0.8837 0.0019 0.7764  1 Al 2.17
Cl: 0.8837 0.3818 0.1073  1 Al 2.17
Cl: 0.8927 0.1163 0.6182  1 Al 2.17
Cl: 0.8927 0.2764 0.2745  1 Al 2.17
Cl: 0.9981 0.2236 0.1163  1 Al 2.17
Cl: 0.9981 0.2745 0.8818  1 Al 2.17

Summary:
D(E_F): 1.4 states/eV/cell
Formation energy without anion corrections: -1.297 eV per atom
Calculated volume: 3088.9 Å³ per cell